The following is a GGA-PBE calculation of a geometry-optimized BaSiHg structure, from Alexandria via LeMat-Bulk.

Fermi-level density of states	8.447	states/eV per cell
formation energy (no corrections)	-0.292	eV per atom
total DFT energy (no corrections)	-2.8407	eV per atom

Geometry as POSCAR:
```
BaSiHg
1.0
20.079 0.000 0.000
0.000 3.983 0.000
-1.141 0.000 4.655
Ba Si Hg
4 4 4
direct
0.000 0.000 0.000
0.219 0.000 0.219
0.500 0.500 0.000
0.719 0.500 0.219
0.364 0.500 0.364
0.431 0.000 0.432
0.864 0.000 0.364
0.931 0.500 0.432
0.110 0.500 0.610
0.299 0.500 0.799
0.610 0.000 0.610
0.799 0.000 0.799
```

=====

The following is a GGA-PBE calculation of a geometry-optimized Pa3PSe3 structure, from Alexandria via LeMat-Bulk.

Fermi-level density of states	22.146	states/eV per cell
formation energy (no corrections)	-0.942	eV per atom
total DFT energy (no corrections)	-7.2775	eV per atom

Geometry as POSCAR:
```
Pa3PSe3
1.0
4.116 -5.951 0.000
4.116 5.951 0.000
-0.322 0.000 7.264
Pa P Se
6 2 6
direct
0.061 0.061 0.215
0.183 0.496 0.677
0.496 0.183 0.677
0.504 0.817 0.323
0.817 0.504 0.323
0.939 0.939 0.785
0.259 0.259 0.916
0.741 0.741 0.084
0.159 0.841 0.500
0.222 0.778 0.000
0.379 0.379 0.352
0.621 0.621 0.648
0.778 0.222 0.000
0.841 0.159 0.500
```

=====

The following is a GGA-PBE calculation of a geometry-optimized CsPdBr3 structure, from Alexandria via LeMat-Bulk.

Fermi-level density of states	0.000	states/eV per cell
formation energy (no corrections)	-0.919	eV per atom
total DFT energy (no corrections)	-3.1320	eV per atom

Geometry as POSCAR:
```
CsPdBr3
1.0
6.986 0.000 0.000
-0.234 7.882 0.000
-0.220 -2.334 7.659
Cs Pd Br
2 2 6
direct
0.219 0.216 0.369
0.781 0.784 0.631
0.323 0.639 0.131
0.677 0.361 0.869
0.054 0.802 0.063
0.268 0.744 0.445
0.401 0.534 0.818
0.599 0.466 0.182
0.732 0.256 0.555
0.946 0.198 0.937
```

=====

The following is a GGA-PBE calculation of a geometry-optimized Ni12Ge3Pt structure, from Alexandria via LeMat-Bulk.

Fermi-level density of states	21.842	states/eV per cell
total DFT energy (no corrections)	-5.7875	eV per atom

Geometry as POSCAR:
```
Ni12Ge3Pt
1.0
3.602 0.000 0.000
0.000 3.602 0.000
0.000 0.000 14.329
Ni Ge Pt
12 3 1
direct
0.000 0.000 0.000
0.000 0.000 0.247
0.000 0.000 0.500
0.000 0.000 0.753
0.000 0.500 0.124
0.000 0.500 0.370
0.000 0.500 0.630
0.000 0.500 0.876
0.500 0.000 0.124
0.500 0.000 0.370
0.500 0.000 0.630
0.500 0.000 0.876
0.500 0.500 0.000
0.500 0.500 0.248
0.500 0.500 0.752
0.500 0.500 0.500
```

=====

The following is a GGA-PBE calculation of a geometry-optimized K2LaCr structure, from Alexandria via LeMat-Bulk.

Fermi-level density of states	7.444	states/eV per cell
ΔE to the lowest computed polymorph	5.5	kJ per mole of atoms
total DFT energy (no corrections)	-3.5864	eV per atom

Geometry as POSCAR:
```
K2LaCr
1.0
21.691 0.000 0.000
0.000 3.864 0.000
-0.981 0.000 4.515
K La Cr
4 2 2
direct
0.158 0.000 0.158
0.342 0.500 0.842
0.658 0.500 0.158
0.842 0.000 0.842
0.000 0.000 0.500
0.500 0.500 0.500
0.000 0.500 0.000
0.500 0.000 0.000
```

=====

The following is a GGA-PBE calculation of a geometry-optimized AcEr2Pt structure, from Alexandria via LeMat-Bulk.

Fermi-level density of states	13.986	states/eV per cell
ΔE to the lowest computed polymorph	1.7	kJ per mole of atoms
total DFT energy (no corrections)	-5.4067	eV per atom

Geometry as POSCAR:
```
AcEr2Pt
1.0
4.063 0.000 0.000
-2.032 3.519 0.000
0.000 0.000 27.489
Ac Er Pt
3 6 3
direct
0.000 0.000 0.000
0.333 0.667 0.667
0.667 0.333 0.333
0.000 0.000 0.224
0.000 0.000 0.448
0.333 0.667 0.115
0.333 0.667 0.890
0.667 0.333 0.557
0.667 0.333 0.781
0.000 0.000 0.836
0.333 0.667 0.503
0.667 0.333 0.169
```

=====

The following is a GGA-PBE calculation of a geometry-optimized InPO2F structure, from Alexandria via LeMat-Bulk.

Fermi-level density of states	1.759	states/eV per cell
formation energy (no corrections)	-0.404	eV per atom
total DFT energy (no corrections)	-4.3908	eV per atom

Geometry as POSCAR:
```
InPO2F
1.0
4.218 0.000 0.000
0.000 4.218 0.000
0.000 0.000 4.103
In P O F
1 1 2 1
direct
0.000 0.000 0.000
0.500 0.500 0.500
0.000 0.500 0.000
0.500 0.000 0.000
0.000 0.000 0.500
```

=====

The following is a GGA-PBE calculation of a geometry-optimized KLiTl3 structure, from Alexandria via LeMat-Bulk.

Fermi-level density of states	5.769	states/eV per cell
ΔE to the lowest computed polymorph	0.0	kJ per mole of atoms
total DFT energy (no corrections)	-2.1374	eV per atom

Geometry as POSCAR:
```
KLiTl3
1.0
10.065 0.000 0.000
0.000 6.137 0.000
-2.455 0.000 9.969
K Li Tl
4 4 12
direct
0.127 0.139 0.228
0.127 0.361 0.728
0.873 0.639 0.272
0.873 0.861 0.772
0.451 0.675 0.660
0.451 0.825 0.160
0.549 0.175 0.840
0.549 0.325 0.340
0.138 0.646 0.055
0.138 0.854 0.555
0.312 0.623 0.367
0.312 0.877 0.867
0.389 0.162 0.549
0.389 0.338 0.049
0.611 0.662 0.951
0.611 0.838 0.451
0.688 0.123 0.133
0.688 0.377 0.633
0.862 0.146 0.445
0.862 0.354 0.945
```